[1]
A relaxed NdErCuHg crystal, computed with GGA-PBE.

Properties
Volume in Å³ per atom: 24.5
Energy relative to the elements in eV per atom: -0.301
E_tot in eV/cell: -14.93

Lattice parameters (Å, degrees): 5.1763 5.1763 5.1763 60.00 60.00 60.00
Last column: nearest neighbours and their distance in Å.
Fractional positions:
Nd 0.0000 0.0000 0.0000  4 Hg 3.17, 4 Cu 3.17
Er 0.5000 0.5000 0.5000  4 Hg 3.17, 4 Cu 3.17
Cu 0.7500 0.7500 0.7500  4 Er 3.17, 4 Nd 3.17
Hg 0.2500 0.2500 0.2500  4 Nd 3.17, 4 Er 3.17

=====

[2]
A relaxed ErCuNiHg crystal, computed with GGA-PBE.

Properties
Volume in Å³ per atom: 17.4
Energy relative to the elements in eV per atom: -0.213
E_tot in eV/cell: -15.59

Lattice parameters (Å, degrees): 4.6174 4.6174 4.6174 60.00 60.00 60.00
Last column: nearest neighbours and their distance in Å.
Fractional positions:
Er 0.0000 0.0000 0.0000  4 Cu 2.83, 4 Ni 2.83
Cu 0.7500 0.7500 0.7500  4 Er 2.83, 4 Hg 2.83
Ni 0.2500 0.2500 0.2500  4 Hg 2.83, 4 Er 2.83
Hg 0.5000 0.5000 0.5000  4 Cu 2.83, 4 Ni 2.83